[1]
This record from Alexandria describes a relaxed structure of HfCuOsW2. The functional is PBE.

D(E_F) = 1.193 states/eV/atom
total DFT energy (no corrections) = -7.631 eV per atom
magnetic moment = 0.00 μB/f.u.
formation energy from the elements = 2.607 eV per atom

Cell lengths 4.7856, 4.7856, 4.7601 Å; angles 90.00, 90.00, 90.00 degrees
Space group P4/mmm (No. 123)
Asymmetric unit:
Hf: 0.0000 0.0000 0.0000 (multiplicity 1)
Cu: 0.5000 0.5000 0.5000 (multiplicity 1)
Os: 0.0000 0.0000 0.5000 (multiplicity 1)
W: 0.0000 0.5000 0.0000 (multiplicity 2)

---

[2]
This record from Alexandria describes a relaxed structure of HfZrCuOs. The functional is PBE.

D(E_F) = 0.705 states/eV/atom
total DFT energy (no corrections) = -8.824 eV per atom
magnetic moment = 0.00 μB/f.u.
formation energy from the elements = -0.367 eV per atom

Cell lengths 3.2398, 3.2398, 6.6654 Å; angles 90.00, 90.00, 90.00 degrees
Space group P4mm (No. 99)
Asymmetric unit:
Hf: 0.0000 0.0000 0.0000 (multiplicity 1)
Zr: 0.0000 0.0000 0.5030 (multiplicity 1)
Cu: 0.5000 0.5000 0.2404 (multiplicity 1)
Os: 0.5000 0.5000 0.7581 (multiplicity 1)

---

[3]
This record from Alexandria describes a relaxed structure of HfZrCuOs. The functional is PBE.

D(E_F) = 0.610 states/eV/atom
total DFT energy (no corrections) = -8.842 eV per atom
magnetic moment = 0.00 μB/f.u.
formation energy from the elements = -0.385 eV per atom

Cell lengths 6.5442, 6.5442, 6.5442 Å; angles 90.00, 90.00, 90.00 degrees
Space group F-43m (No. 216)
Asymmetric unit:
Hf: 0.0000 0.0000 0.0000 (multiplicity 4)
Zr: 0.0000 0.0000 0.5000 (multiplicity 4)
Cu: 0.2500 0.2500 0.7500 (multiplicity 4)
Os: 0.2500 0.2500 0.2500 (multiplicity 4)

---

[4]
This record from Alexandria describes a relaxed structure of HfCuP. The functional is PBE.

D(E_F) = 0.465 states/eV/atom
total DFT energy (no corrections) = -6.555 eV per atom
magnetic moment = 0.00 μB/f.u.
formation energy from the elements = -0.068 eV per atom

Cell lengths 3.6305, 3.6305, 5.4940 Å; angles 90.00, 90.00, 120.00 degrees
Space group P3m1 (No. 156)
Asymmetric unit:
Hf: 0.0000 0.0000 0.0000 (multiplicity 1)
Cu: 0.3333 0.6667 0.6586 (multiplicity 1)
P: 0.3333 0.6667 0.2499 (multiplicity 1)

---

[5]
This record from Alexandria describes a relaxed structure of Hf4CuP. The functional is PBE.

D(E_F) = 0.909 states/eV/atom
total DFT energy (no corrections) = -8.754 eV per atom
magnetic moment = 0.00 μB/f.u.
formation energy from the elements = -0.534 eV per atom

Cell lengths 6.4815, 6.4815, 5.2210 Å; angles 90.00, 90.00, 90.00 degrees
Space group P4/mcc (No. 124)
Asymmetric unit:
Hf: 0.1541 0.3403 0.0000 (multiplicity 8)
Cu: 0.5000 0.5000 0.2500 (multiplicity 2)
P: 0.0000 0.0000 0.2500 (multiplicity 2)

---

[6]
This record from Alexandria describes a relaxed structure of HfCuP2. The functional is PBE.

D(E_F) = 0.590 states/eV/atom
total DFT energy (no corrections) = -6.425 eV per atom
magnetic moment = 0.00 μB/f.u.
formation energy from the elements = -0.207 eV per atom

Cell lengths 6.2983, 6.2983, 6.2983 Å; angles 90.00, 90.00, 90.00 degrees
Space group Fm-3m (No. 225)
Asymmetric unit:
Hf: 0.0000 0.0000 0.0000 (multiplicity 4)
Cu: 0.0000 0.0000 0.5000 (multiplicity 4)
P: 0.2500 0.2500 0.2500 (multiplicity 8)

---

[7]
This record from Alexandria describes a relaxed structure of Hf4CuP. The functional is PBE.

D(E_F) = 0.904 states/eV/atom
total DFT energy (no corrections) = -8.452 eV per atom
magnetic moment = 0.00 μB/f.u.
formation energy from the elements = -0.232 eV per atom

Cell lengths 6.1541, 6.3138, 6.2833 Å; angles 90.00, 93.75, 90.00 degrees
Space group P2_1/c (No. 14)
Asymmetric unit:
Hf: 0.1388 0.1449 0.1607 (multiplicity 4)
Hf: 0.3528 0.6539 0.1357 (multiplicity 4)
Cu: 0.5000 0.0000 0.0000 (multiplicity 2)
P: 0.0000 0.0000 0.5000 (multiplicity 2)

---

[8]
This record from Alexandria describes a relaxed structure of HfCuP2. The functional is PBE.

D(E_F) = 0.308 states/eV/atom
total DFT energy (no corrections) = -6.561 eV per atom
magnetic moment = 0.00 μB/f.u.
formation energy from the elements = -0.344 eV per atom

Cell lengths 6.5115, 6.5115, 6.1538 Å; angles 90.00, 90.00, 90.00 degrees
Space group I-42d (No. 122)
Asymmetric unit:
Hf: 0.0000 0.0000 0.0000 (multiplicity 4)
Cu: 0.0000 0.0000 0.5000 (multiplicity 4)
P: 0.2054 0.2500 0.6250 (multiplicity 8)

---

[9]
This record from Alexandria describes a relaxed structure of Hf3CuP2. The functional is PBE.

D(E_F) = 0.388 states/eV/atom
total DFT energy (no corrections) = -8.332 eV per atom
magnetic moment = 0.00 μB/f.u.
formation energy from the elements = -0.869 eV per atom

Cell lengths 10.5260, 3.6666, 10.2759 Å; angles 90.00, 90.00, 90.00 degrees
Space group Pnma (No. 62)
Asymmetric unit:
Hf: 0.0485 0.2500 0.1206 (multiplicity 4)
Hf: 0.1231 0.7500 0.5710 (multiplicity 4)
Hf: 0.2025 0.2500 0.7956 (multiplicity 4)
Cu: 0.1299 0.2500 0.3785 (multiplicity 4)
P: 0.0257 0.7500 0.3113 (multiplicity 4)
P: 0.1901 0.7500 0.0027 (multiplicity 4)

---

[10]
This record from Alexandria describes a relaxed structure of HfCu2P. The functional is PBE.

D(E_F) = 0.321 states/eV/atom
total DFT energy (no corrections) = -6.139 eV per atom
magnetic moment = 0.00 μB/f.u.
formation energy from the elements = -0.250 eV per atom

Cell lengths 3.6175, 3.6175, 19.3483 Å; angles 90.00, 90.00, 90.00 degrees
Space group I-42d (No. 122)
Asymmetric unit:
Hf: 0.0000 0.0000 0.0000 (multiplicity 4)
Cu: 0.2381 0.2500 0.6250 (multiplicity 8)
P: 0.0000 0.0000 0.5000 (multiplicity 4)

---

[11]
This record from Alexandria describes a relaxed structure of HfCuPPb2. The functional is PBE.

D(E_F) = 0.965 states/eV/atom
total DFT energy (no corrections) = -4.247 eV per atom
magnetic moment = 0.00 μB/f.u.
formation energy from the elements = 1.128 eV per atom

Cell lengths 5.6634, 5.6634, 4.8425 Å; angles 90.00, 90.00, 90.00 degrees
Space group P4/mmm (No. 123)
Asymmetric unit:
Hf: 0.0000 0.0000 0.0000 (multiplicity 1)
Cu: 0.0000 0.0000 0.5000 (multiplicity 1)
P: 0.5000 0.5000 0.5000 (multiplicity 1)
Pb: 0.0000 0.5000 0.0000 (multiplicity 2)

---

[12]
This record from Alexandria describes a relaxed structure of Hf2PaCu. The functional is PBE.

D(E_F) = 1.477 states/eV/atom
total DFT energy (no corrections) = -8.296 eV per atom
magnetic moment = 0.00 μB/f.u.
formation energy from the elements = 0.079 eV per atom

Cell lengths 3.1818, 3.1818, 28.6228 Å; angles 90.00, 90.00, 120.00 degrees
Space group R3m (No. 160, hexagonal axes)
Asymmetric unit:
Hf: 0.0000 0.0000 0.0000 (multiplicity 3)
Hf: 0.0000 0.0000 0.1869 (multiplicity 3)
Pa: 0.0000 0.0000 0.4265 (multiplicity 3)
Cu: 0.0000 0.0000 0.5935 (multiplicity 3)

---

[13]
This record from Alexandria describes a relaxed structure of Hf2PaCu. The functional is PBE.

D(E_F) = 1.805 states/eV/atom
total DFT energy (no corrections) = -8.035 eV per atom
magnetic moment = 0.00 μB/f.u.
formation energy from the elements = 0.340 eV per atom

Cell lengths 3.0632, 3.0632, 31.1648 Å; angles 90.00, 90.00, 120.00 degrees
Space group R-3m (No. 166, hexagonal axes)
Asymmetric unit:
Hf: 0.0000 0.0000 0.0971 (multiplicity 6)
Pa: 0.0000 0.0000 0.0000 (multiplicity 3)
Cu: 0.0000 0.0000 0.5000 (multiplicity 3)

---

[14]
This record from Alexandria describes a relaxed structure of Hf2PaCu. The functional is PBE.

D(E_F) = 1.156 states/eV/atom
total DFT energy (no corrections) = -8.399 eV per atom
magnetic moment = 0.00 μB/f.u.
formation energy from the elements = -0.024 eV per atom

Cell lengths 3.1708, 3.1708, 8.1820 Å; angles 90.00, 90.00, 90.00 degrees
Space group P4/mmm (No. 123)
Asymmetric unit:
Hf: 0.0000 0.0000 0.2093 (multiplicity 2)
Pa: 0.5000 0.5000 0.5000 (multiplicity 1)
Cu: 0.5000 0.5000 0.0000 (multiplicity 1)